No. 1
The following is a SCAN calculation of a PBEsol-optimized structure of Cu2SBr, from Alexandria.

Calculated values
Uncorrected energy = -242.85 eV for the cell shown
E_form (uncorrected) = -1.23 eV per formula unit

a = 5.3692 Å, b = 5.3692 Å, c = 10.6985 Å
α = 90.00°, β = 90.00°, γ = 90.00°
With the nearest neighbours (Å) after each atom.
Space group I-42d (No. 122)
One atom of each set of equivalent atoms:
Cu: 0.2018 0.2500 0.1250 x8  2 S 2.18
S: 0.0000 0.0000 0.0000 x4  4 Cu 2.18
Br: 0.0000 0.0000 0.5000 x4  4 Cu 2.48

---

No. 2
The following is a SCAN calculation of a PBEsol-optimized structure of ScOs, from Alexandria.

Calculated values
Uncorrected energy = -348.04 eV for the cell shown
Energy of formation from the pure elements = -0.89 eV/f.u.

a = 3.1185 Å, b = 4.4323 Å, c = 9.4392 Å
α = 90.00°, β = 90.00°, γ = 90.00°
With the nearest neighbours (Å) after each atom.
Space group Imma (No. 74)
One atom of each set of equivalent atoms:
Sc: 0.0000 0.2500 0.1153 x4  6 Os 2.72-2.84, 2 Sc 2.98
Os: 0.0000 0.2500 0.6367 x4  2 Os 2.65, 6 Sc 2.72-2.84

---

No. 3
The following is a SCAN calculation of a PBEsol-optimized structure of SbRuSe, from Alexandria.

Calculated values
Uncorrected energy = -92.25 eV for the cell shown
E_form (uncorrected) = -0.09 eV per formula unit

a = 3.5041 Å, b = 3.5041 Å, c = 5.6588 Å
α = 90.00°, β = 90.00°, γ = 120.00°
With the nearest neighbours (Å) after each atom.
Space group P3m1 (No. 156)
One atom of each set of equivalent atoms:
Sb: 0.0000 0.0000 0.0000 x1  3 Ru 2.71
Ru: 0.6667 0.3333 0.3199 x1  3 Se 2.42, 3 Sb 2.71
Se: 0.3333 0.6667 0.5561 x1  3 Ru 2.42

---

No. 4
The following is a SCAN calculation of a PBEsol-optimized structure of SrMoPt, from Alexandria.

Calculated values
Uncorrected energy = -125.21 eV for the cell shown
Energy of formation from the pure elements = 2.15 eV/f.u.

a = 3.0552 Å, b = 3.0552 Å, c = 7.3218 Å
α = 90.00°, β = 90.00°, γ = 120.00°
With the nearest neighbours (Å) after each atom.
Space group P3m1 (No. 156)
One atom of each set of equivalent atoms:
Sr: 0.0000 0.0000 0.0000 x1  6 Sr 3.06, 3 Pt 3.16, 3 Mo 3.25
Mo: 0.3333 0.6667 0.6275 x1  3 Pt 2.64
Pt: 0.6667 0.3333 0.3587 x1  3 Mo 2.64

---

No. 5
The following is a SCAN calculation of a PBEsol-optimized structure of Li2HO, from Alexandria.

Calculated values
Uncorrected energy = -70.19 eV for the cell shown

a = 3.8115 Å, b = 3.8115 Å, c = 10.6878 Å
α = 90.00°, β = 90.00°, γ = 90.00°
With the nearest neighbours (Å) after each atom.
Space group I-42d (No. 122)
One atom of each set of equivalent atoms:
Li: 0.2140 0.2500 0.1250 x8  2 O 1.83, 2 H 1.97
H: 0.0000 0.0000 0.5000 x4  4 Li 1.97
O: 0.0000 0.0000 0.0000 x4  4 Li 1.83

---

No. 6
The following is a SCAN calculation of a PBEsol-optimized structure of Cr3Tc, from Alexandria.

Calculated values
Uncorrected energy = -270.16 eV for the cell shown
Energy of formation from the pure elements = 0.16 eV/f.u.

a = 8.1115 Å, b = 8.1115 Å, c = 2.5206 Å
α = 90.00°, β = 90.00°, γ = 120.00°
With the nearest neighbours (Å) after each atom.
Space group R-3m (No. 166, hexagonal axes)
One atom of each set of equivalent atoms:
Cr: 0.0000 0.5000 0.0000 x9  6 Cr 2.49-2.52, 2 Tc 2.49
Tc: 0.0000 0.0000 0.0000 x3  6 Cr 2.49, 2 Tc 2.52

---

No. 7
The following is a SCAN calculation of a PBEsol-optimized structure of TaTl3Au, from Alexandria.

Calculated values
Uncorrected energy = -346.39 eV for the cell shown
Energy of formation from the pure elements = 6.43 eV/f.u.

a = 5.2626 Å, b = 5.2626 Å, c = 5.2626 Å
α = 90.00°, β = 90.00°, γ = 90.00°
With the nearest neighbours (Å) after each atom.
Space group Pm-3m (No. 221)
One atom of each set of equivalent atoms:
Ta: 0.0000 0.0000 0.0000 x1  12 Tl 3.72
Tl: 0.0000 0.5000 0.5000 x3  2 Au 2.63
Au: 0.5000 0.5000 0.5000 x1  6 Tl 2.63

---

No. 8
The following is a SCAN calculation of a PBEsol-optimized structure of ReAs2Br, from Alexandria.

Calculated values
Uncorrected energy = -125.77 eV for the cell shown
E_form (uncorrected) = 5.17 eV per formula unit

a = 3.8096 Å, b = 3.8096 Å, c = 4.8421 Å
α = 90.00°, β = 90.00°, γ = 90.00°
With the nearest neighbours (Å) after each atom.
Space group P4/mmm (No. 123)
One atom of each set of equivalent atoms:
Re: 0.0000 0.0000 0.0000 x1  4 Br 2.69
As: 0.0000 0.5000 0.5000 x2  4 As 2.69
Br: 0.5000 0.5000 0.0000 x1  4 Re 2.69

---

No. 9
The following is a SCAN calculation of a PBEsol-optimized structure of Ta2ZnNiRh, from Alexandria.

Calculated values
Uncorrected energy = -190.63 eV for the cell shown
Energy of formation from the pure elements = 6.00 eV/f.u.

a = 4.5753 Å, b = 4.5753 Å, c = 4.1143 Å
α = 90.00°, β = 90.00°, γ = 90.00°
With the nearest neighbours (Å) after each atom.
Space group P4/mmm (No. 123)
One atom of each set of equivalent atoms:
Ta: 0.0000 0.5000 0.0000 x2  2 Zn 2.29
Zn: 0.0000 0.0000 0.0000 x1  2 Ni 2.06, 4 Ta 2.29
Ni: 0.0000 0.0000 0.5000 x1  2 Zn 2.06
Rh: 0.5000 0.5000 0.5000 x1  8 Ta 3.08, 4 Ni 3.24

---

No. 10
The following is a SCAN calculation of a PBEsol-optimized structure of SrCuOs2, from Alexandria.

Calculated values
Uncorrected energy = -179.22 eV for the cell shown
Energy of formation from the pure elements = 2.02 eV/f.u.

a = 2.9147 Å, b = 2.9147 Å, c = 7.9478 Å
α = 90.00°, β = 90.00°, γ = 90.00°
With the nearest neighbours (Å) after each atom.
Space group P4mm (No. 99)
One atom of each set of equivalent atoms:
Sr: 0.0000 0.0000 0.0000 x1  4 Sr 2.91, 4 Cu 3.12, 4 Os 3.19
Cu: 0.5000 0.5000 0.2955 x1  4 Os 2.61, 4 Cu 2.91
Os: 0.0000 0.0000 0.4971 x1  4 Os 2.58, 4 Cu 2.61
Os: 0.5000 0.5000 0.6932 x1  4 Os 2.58

---

No. 11
The following is a SCAN calculation of a PBEsol-optimized structure of NiIr2Ru, from Alexandria.

Calculated values
Uncorrected energy = -193.30 eV for the cell shown
Energy of formation from the pure elements = -0.10 eV/f.u.

a = 2.6725 Å, b = 3.7010 Å, c = 5.2738 Å
α = 90.00°, β = 90.00°, γ = 90.00°
With the nearest neighbours (Å) after each atom.
Space group Pmmm (No. 47)
One atom of each set of equivalent atoms:
Ni: 0.0000 0.0000 0.0000 x1  8 Ir 2.62, 2 Ru 2.64, 2 Ni 2.67
Ir: 0.5000 0.5000 0.2445 x2  4 Ir 2.58-2.69, 4 Ni 2.62, 4 Ru 2.65
Ru: 0.0000 0.0000 0.5000 x1  2 Ni 2.64, 8 Ir 2.65, 2 Ru 2.67

---

No. 12
The following is a SCAN calculation of a PBEsol-optimized structure of SrZrCl2, from Alexandria.

Calculated values
Uncorrected energy = -74.26 eV for the cell shown
E_form (uncorrected) = -5.33 eV per formula unit

a = 3.6193 Å, b = 3.6193 Å, c = 7.0735 Å
α = 90.00°, β = 90.00°, γ = 90.00°
With the nearest neighbours (Å) after each atom.
Space group P4mm (No. 99)
One atom of each set of equivalent atoms:
Sr: 0.0000 0.0000 0.0000 x1  5 Cl 3.06-3.34
Zr: 0.5000 0.5000 0.3758 x1  5 Cl 2.65-2.73
Cl: 0.0000 0.0000 0.4726 x1  4 Zr 2.65
Cl: 0.5000 0.5000 0.7624 x1  1 Zr 2.73, 4 Sr 3.06

---

No. 13
The following is a SCAN calculation of a PBEsol-optimized structure of CdRh8, from Alexandria.

Calculated values
Uncorrected energy = -600.00 eV for the cell shown
Energy of formation from the pure elements = 0.59 eV/f.u.

a = 8.1201 Å, b = 8.1201 Å, c = 3.8172 Å
α = 90.00°, β = 90.00°, γ = 90.00°
With the nearest neighbours (Å) after each atom.
Space group I4/mmm (No. 139)
One atom of each set of equivalent atoms:
Cd: 0.0000 0.0000 0.0000 x2  12 Rh 2.74-2.76
Rh: 0.0000 0.3376 0.0000 x8  11 Rh 2.64-2.72, 1 Cd 2.74
Rh: 0.1742 0.1742 0.5000 x8  10 Rh 2.58-2.83, 2 Cd 2.76

---

No. 14
The following is a SCAN calculation of a PBEsol-optimized structure of PtAu4, from Alexandria.

Calculated values
Uncorrected energy = -693.18 eV for the cell shown
Energy of formation from the pure elements = 0.23 eV/f.u.

a = 6.3909 Å, b = 6.3909 Å, c = 4.0397 Å
α = 90.00°, β = 90.00°, γ = 90.00°
With the nearest neighbours (Å) after each atom.
Space group I4/m (No. 87)
One atom of each set of equivalent atoms:
Pt: 0.0000 0.0000 0.0000 x2  12 Au 2.85-2.86
Au: 0.1011 0.7015 0.5000 x8  9 Au 2.84-2.88, 3 Pt 2.85-2.86

---

No. 15
The following is a SCAN calculation of a PBEsol-optimized structure of KMg2Sn2, from Alexandria.

Calculated values
Uncorrected energy = -182.22 eV for the cell shown
Energy of formation from the pure elements = -0.99 eV/f.u.

a = 9.0922 Å, b = 9.0922 Å, c = 3.2172 Å
α = 90.00°, β = 90.00°, γ = 90.00°
With the nearest neighbours (Å) after each atom.
Space group P4/mbm (No. 127)
One atom of each set of equivalent atoms:
K: 0.0000 0.0000 0.0000 x2  2 K 3.22, 4 Sn 3.44
Mg: 0.1357 0.3643 0.5000 x4  6 Sn 3.09-3.14, 2 Mg 3.22
Sn: 0.1543 0.6543 0.0000 x4  6 Mg 3.09-3.14, 2 Sn 3.22, 2 K 3.44

---

No. 16
The following is a SCAN calculation of a PBEsol-optimized structure of Li2ZnNi, from Alexandria.

Calculated values
Uncorrected energy = -69.58 eV for the cell shown
Energy of formation from the pure elements = -0.32 eV/f.u.

a = 3.4977 Å, b = 3.4977 Å, c = 8.0623 Å
α = 90.00°, β = 90.00°, γ = 90.00°
With the nearest neighbours (Å) after each atom.
Space group I4/mmm (No. 139)
One atom of each set of equivalent atoms:
Li: 0.0000 0.5000 0.2500 x4  4 Li 2.47, 4 Zn 2.67, 4 Ni 2.67
Zn: 0.0000 0.0000 0.0000 x2  4 Ni 2.47, 8 Li 2.67
Ni: 0.0000 0.0000 0.5000 x2  4 Zn 2.47, 8 Li 2.67

---

No. 17
The following is a SCAN calculation of a PBEsol-optimized structure of K3Fe, from Alexandria.

Calculated values
Uncorrected energy = -119.96 eV for the cell shown
Energy of formation from the pure elements = 3.13 eV/f.u.

a = 12.3734 Å, b = 12.3734 Å, c = 4.0606 Å
α = 90.00°, β = 90.00°, γ = 120.00°
With the nearest neighbours (Å) after each atom.
Space group R-3m (No. 166, hexagonal axes)
One atom of each set of equivalent atoms:
K: 0.0000 0.5000 0.0000 x9  2 Fe 3.82, 6 K 3.82-4.06
Fe: 0.0000 0.0000 0.0000 x3  6 K 3.82, 2 Fe 4.06

---

No. 18
The following is a SCAN calculation of a PBEsol-optimized structure of TiCr2Ir, from Alexandria.

Calculated values
Uncorrected energy = -499.55 eV for the cell shown
Energy of formation from the pure elements = -0.99 eV/f.u.

a = 5.9058 Å, b = 5.9058 Å, c = 5.9058 Å
α = 90.00°, β = 90.00°, γ = 90.00°
With the nearest neighbours (Å) after each atom.
Space group Fm-3m (No. 225)
One atom of each set of equivalent atoms:
Ti: 0.0000 0.0000 0.0000 x4  8 Cr 2.56
Cr: 0.2500 0.2500 0.2500 x8  4 Ir 2.56, 4 Ti 2.56
Ir: 0.0000 0.0000 0.5000 x4  8 Cr 2.56

---

No. 19
The following is a SCAN calculation of a PBEsol-optimized structure of ZrScSb2, from Alexandria.

Calculated values
Uncorrected energy = -122.18 eV for the cell shown
E_form (uncorrected) = -2.73 eV per formula unit

a = 3.5077 Å, b = 3.8367 Å, c = 6.8104 Å
α = 90.00°, β = 101.70°, γ = 90.00°
With the nearest neighbours (Å) after each atom.
Space group P2/m (No. 10)
One atom of each set of equivalent atoms:
Zr: 0.0000 0.0000 0.0000 x1  8 Sb 2.94-3.21
Sc: 0.0000 0.0000 0.5000 x1  4 Sb 2.88
Sb: 0.4722 0.5000 0.7561 x2  2 Sc 2.88, 4 Zr 2.94-3.21

---

No. 20
The following is a SCAN calculation of a PBEsol-optimized structure of Cs2NaScI6, from Alexandria.

Calculated values
Uncorrected energy = -1319.84 eV for the cell shown
E_form (uncorrected) = -15.44 eV per formula unit

a = 11.8398 Å, b = 11.8398 Å, c = 11.8398 Å
α = 90.00°, β = 90.00°, γ = 90.00°
With the nearest neighbours (Å) after each atom.
Space group Fm-3m (No. 225)
One atom of each set of equivalent atoms:
Cs: 0.2500 0.2500 0.2500 x8  12 I 4.19
Na: 0.0000 0.0000 0.0000 x4  6 I 3.07
Sc: 0.0000 0.0000 0.5000 x4  6 I 2.85
I: 0.0000 0.0000 0.2594 x24  1 Sc 2.85, 1 Na 3.07